No. 1
DFT (PBE) results for a geometry-optimized CdGeO structure.

a b c (Å): 3.007 6.135 6.270
angles (deg): 77.05 76.68 89.49
Space group P1 (No. 1)
Symmetry-distinct sites (fractional):
Cd1 0.000 0.000 0.000 x1
Cd2 0.395 0.341 0.211 x1
Ge1 0.700 0.054 0.590 x1
Ge2 0.740 0.666 0.526 x1
O1 0.187 0.504 0.644 x1
O2 0.884 0.634 0.234 x1

Properties
Spin magnetization, Bohr magnetons per cell: 0.00
DOS(E_F), states/eV/cell: 0.9
Crystal system: triclinic
Formation energy without anion corrections, eV/atom: -0.654

***

No. 2
DFT (PBE) results for a geometry-optimized InAg2Os structure.

a b c (Å): 5.642 8.921 2.795
angles (deg): 90.00 90.00 90.00
Space group Cmmm (No. 65)
Symmetry-distinct sites (fractional):
In1 0.000 0.000 0.000 x2
Ag1 0.250 0.250 0.500 x4
Os1 0.000 0.500 0.000 x2

Properties
Energy, eV/f.u.: -17.6
Spin magnetization, Bohr magnetons per cell: 0.20
DOS(E_F), states/eV/cell: 5.9
Crystal system: orthorhombic

***

No. 3
DFT (PBE) results for a geometry-optimized CsTiOs2 structure.

a b c (Å): 6.690 6.690 6.690
angles (deg): 90.00 90.00 90.00
Space group Fm-3m (No. 225)
Symmetry-distinct sites (fractional):
Cs1 0.000 0.000 0.000 x4
Ti1 0.000 0.000 0.500 x4
Os1 0.250 0.250 0.250 x8

Properties
Energy, eV/f.u.: -24.5
Spin magnetization, Bohr magnetons per cell: 0.00
DOS(E_F), states/eV/cell: 15.1
Crystal system: cubic

***

Question: Which of these has the highest spin magnetization?
Answer: InAg2Os